This record from Alexandria via LeMat-Bulk describes crystalline PrDyI4 at its relaxed geometry. The functional is PBE.

a = 7.3156 Å, b = 4.1881 Å, c = 8.3708 Å
α = 90.00°, β = 106.41°, γ = 90.00°
Closest atoms and distances in Å follow each position.
Space group P2/m (No. 10)
Unique sites:
Pr  0.0000  0.0000  0.0000 (multiplicity 1)  6 I 3.19-3.21
Dy  0.5000  0.5000  0.0000 (multiplicity 1)  6 I 3.09-3.10
I  0.2624  0.5000  0.2542 (multiplicity 2)  1 Dy 3.10, 2 Pr 3.21
I  0.2642  0.0000  0.7547 (multiplicity 2)  2 Dy 3.09, 1 Pr 3.19

Values from the calculation:
DFT total energy = -23.093 eV for the cell shown
Formation energy (no corrections) = -1.252 eV per atom
Theoretical density = 5.47 g/cm³

***

This record from Alexandria via LeMat-Bulk describes crystalline Pr2DyI6 at its relaxed geometry. The functional is PBE.

a = 7.9506 Å, b = 7.9506 Å, c = 12.1704 Å
α = 90.00°, β = 90.00°, γ = 90.00°
Closest atoms and distances in Å follow each position.
Space group P4_2/mnm (No. 136)
Unique sites:
Pr  0.0000  0.0000  0.1565 (multiplicity 4)  6 I 3.18-3.26
Dy  0.0000  0.0000  0.5000 (multiplicity 2)  6 I 3.07-3.09
I  0.2098  0.2098  0.3367 (multiplicity 8)  1 Dy 3.09, 2 Pr 3.22-3.26
I  0.2268  0.2268  0.0000 (multiplicity 4)  1 Dy 3.07, 2 Pr 3.18

Values from the calculation:
DFT total energy = -67.859 eV for the cell shown
Formation energy (no corrections) = -1.163 eV per atom
Theoretical density = 5.21 g/cm³

***

Repeat the second record exactly.
This record from Alexandria via LeMat-Bulk describes crystalline Pr2DyI6 at its relaxed geometry. The functional is PBE.

a = 7.9506 Å, b = 7.9506 Å, c = 12.1704 Å
α = 90.00°, β = 90.00°, γ = 90.00°
Closest atoms and distances in Å follow each position.
Space group P4_2/mnm (No. 136)
Unique sites:
Pr  0.0000  0.0000  0.1565 (multiplicity 4)  6 I 3.18-3.26
Dy  0.0000  0.0000  0.5000 (multiplicity 2)  6 I 3.07-3.09
I  0.2098  0.2098  0.3367 (multiplicity 8)  1 Dy 3.09, 2 Pr 3.22-3.26
I  0.2268  0.2268  0.0000 (multiplicity 4)  1 Dy 3.07, 2 Pr 3.18

Values from the calculation:
DFT total energy = -67.859 eV for the cell shown
Formation energy (no corrections) = -1.163 eV per atom
Theoretical density = 5.21 g/cm³

***

- theoretical density of number 2 (Pr2DyI6)?
  5.21 g/cm³